Below is an optimized crystal structure of ScTlRe, with properties calculated at the PBE level.

Geometry as CIF:
```
data_ScTlRe
_space_group_name_H-M_alt 'P 1'
_space_group_IT_number 1
_space_group_name_Hall 'P 1'
_cell_length_a 4.606
_cell_length_b 4.606
_cell_length_c 4.606
_cell_angle_alpha 60.00
_cell_angle_beta 60.00
_cell_angle_gamma 60.00
loop_
_atom_site_label
_atom_site_type_symbol
_atom_site_fract_x
_atom_site_fract_y
_atom_site_fract_z
Re1 Re 0.500 0.500 0.500
Sc1 Sc 0.750 0.750 0.750
Tl1 Tl 0.000 0.000 0.000
```

Summary:
Energy above the lowest structure with this stoichiometry, kcal/mol of atoms: 18.60
Symmetry: F-43m
E, eV/atom: -5.959
E_form, eV/atom: 1.0898